1.
# Ac2NpN

Crystalline Ac2NpN at its relaxed geometry (GGA-PBE, Alexandria via LeMat-Bulk).

Lattice parameters (Å, degrees): 10.477 10.477 10.477 20.20 20.20 20.20
Atoms (fractional coordinates):
Ac1 0.116 0.116 0.116
Ac2 0.884 0.884 0.884
Np1 0.000 0.000 0.000
N1 0.500 0.500 0.500



2.
# Ac2NpN7

Crystalline Ac2NpN7 at its relaxed geometry (GGA-PBE, Alexandria via LeMat-Bulk).

Lattice parameters (Å, degrees): 5.747 5.747 5.747 60.00 60.00 60.00
Atoms (fractional coordinates):
Ac1 0.250 0.250 0.250
Ac2 0.750 0.750 0.750
Np1 0.000 0.000 0.000
N1 0.252 0.252 0.748
N2 0.252 0.748 0.252
N3 0.252 0.748 0.748
N4 0.500 0.500 0.500
N5 0.748 0.252 0.252
N6 0.748 0.252 0.748
N7 0.748 0.748 0.252



3.
# AcNp2N5

Crystalline AcNp2N5 at its relaxed geometry (GGA-PBE, Alexandria via LeMat-Bulk).

Lattice parameters (Å, degrees): 7.339 7.339 7.339 129.07 129.07 74.89
Atoms (fractional coordinates):
Ac1 0.250 0.250 0.000
Ac2 0.750 0.750 0.000
Np1 0.162 0.662 0.824
Np2 0.338 0.162 0.500
Np3 0.662 0.838 0.500
Np4 0.838 0.338 0.176
N1 0.000 0.000 0.000
N2 0.048 0.220 0.500
N3 0.220 0.720 0.173
N4 0.280 0.452 0.500
N5 0.452 0.952 0.173
N6 0.500 0.500 0.000
N7 0.548 0.048 0.827
N8 0.720 0.548 0.500
N9 0.780 0.280 0.827
N10 0.952 0.780 0.500



4.
# Ac3Np2N6

Crystalline Ac3Np2N6 at its relaxed geometry (GGA-PBE, Alexandria via LeMat-Bulk).

Lattice parameters (Å, degrees): 10.971 10.971 10.971 157.13 157.13 32.56
Atoms (fractional coordinates):
Ac1 0.000 0.000 0.000
Ac2 0.184 0.184 0.000
Ac3 0.816 0.816 0.000
Np1 0.405 0.405 0.000
Np2 0.595 0.595 0.000
N1 0.088 0.588 0.500
N2 0.302 0.302 0.000
N3 0.412 0.912 0.500
N4 0.588 0.088 0.500
N5 0.698 0.698 0.000
N6 0.912 0.412 0.500



5.
# AcNpN3

Crystalline AcNpN3 at its relaxed geometry (GGA-PBE, Alexandria via LeMat-Bulk).

Lattice parameters (Å, degrees): 4.284 4.284 4.284 90.00 90.00 90.00
Atoms (fractional coordinates):
Ac1 0.000 0.000 0.000
Np1 0.500 0.500 0.500
N1 0.000 0.500 0.500
N2 0.500 0.000 0.500
N3 0.500 0.500 0.000



6.
# AcNpN

Crystalline AcNpN at its relaxed geometry (GGA-PBE, Alexandria via LeMat-Bulk).

Lattice parameters (Å, degrees): 4.735 3.394 8.972 90.00 90.78 90.00
Atoms (fractional coordinates):
Ac1 0.212 0.250 0.305
Ac2 0.788 0.750 0.695
Np1 0.325 0.750 0.964
Np2 0.675 0.250 0.036
N1 0.025 0.250 0.871
N2 0.975 0.750 0.129



| no. | electronic total energy (eV per cell) | raw formation energy (meV per atom) |
| --- | --- | --- |
| 1 | -29.24 | 60.9 |
| 2 | -78.15 | 128.1 |
| 3 | -156.92 | -855.3 |
| 4 | -100.67 | -1137.2 |
| 5 | -48.04 | -1202.4 |
| 6 | -54.16 | -567.8 |